No. 1
Computed, not measured: K2LiAlH6 after structural relaxation at the PBE level of DFT.

CIF file:
```
data_K2LiAlH6
_cell_length_a 7.764
_cell_length_b 7.764
_cell_length_c 7.764
_cell_angle_alpha 90.00
_cell_angle_beta 90.00
_cell_angle_gamma 90.00
_space_group_name_H-M_alt 'F m -3 m'
_space_group_IT_number 225
_space_group_name_Hall '-F 4 2 3'
loop_
_atom_site_label
_atom_site_fract_x
_atom_site_fract_y
_atom_site_fract_z
K1 0.250 0.250 0.250
Li1 0.000 0.000 0.000
Al1 0.000 0.000 0.500
H1 0.000 0.000 0.270
```

Output
* total energy: -123.29 eV per cell

***

No. 2
Computed, not measured: Tl2RhAu after structural relaxation at the PBE level of DFT.

CIF file:
```
data_Tl2RhAu
_cell_length_a 4.082
_cell_length_b 4.082
_cell_length_c 9.777
_cell_angle_alpha 90.00
_cell_angle_beta 90.00
_cell_angle_gamma 90.00
_space_group_name_H-M_alt 'I -4 m 2'
_space_group_IT_number 119
_space_group_name_Hall 'I -4 -2'
loop_
_atom_site_label
_atom_site_fract_x
_atom_site_fract_y
_atom_site_fract_z
Tl1 0.000 0.000 0.000
Tl2 0.000 0.500 0.250
Rh1 0.000 0.000 0.500
Au1 0.000 0.500 0.750
```

Output
* energy of formation: 0.16 eV per atom

***

No. 3
Computed, not measured: YCuC after structural relaxation at the PBE level of DFT.

CIF file:
```
data_YCuC
_cell_length_a 3.767
_cell_length_b 4.347
_cell_length_c 5.553
_cell_angle_alpha 90.00
_cell_angle_beta 90.00
_cell_angle_gamma 90.00
_space_group_name_H-M_alt 'P m n 21'
_space_group_IT_number 31
_space_group_name_Hall 'P 2ac -2'
loop_
_atom_site_label
_atom_site_fract_x
_atom_site_fract_y
_atom_site_fract_z
Y1 0.000 0.185 0.000
Cu1 0.000 0.351 0.521
C1 0.000 0.691 0.228
```

Output
* energy of formation: 0.00 eV per atom

***

No. 4
Computed, not measured: Sm3Au after structural relaxation at the PBE level of DFT.

CIF file:
```
data_Sm3Au
_cell_length_a 3.799
_cell_length_b 12.494
_cell_length_c 9.943
_cell_angle_alpha 90.00
_cell_angle_beta 90.00
_cell_angle_gamma 90.00
_space_group_name_H-M_alt 'C m c m'
_space_group_IT_number 63
_space_group_name_Hall '-C 2c 2'
loop_
_atom_site_label
_atom_site_fract_x
_atom_site_fract_y
_atom_site_fract_z
Sm1 0.000 0.061 0.250
Sm2 0.000 0.366 0.051
Au1 0.000 0.240 0.750
```

Output
* energy of formation: -0.41 eV per atom
* excess energy over the best structure of this formula in the dataset: 0.0 meV per atom

***

No. 5
Computed, not measured: Rb2ErSb4Au3 after structural relaxation at the PBE level of DFT.

CIF file:
```
data_Rb2ErSb4Au3
_cell_length_a 4.876
_cell_length_b 4.876
_cell_length_c 12.200
_cell_angle_alpha 90.00
_cell_angle_beta 90.00
_cell_angle_gamma 90.00
_space_group_name_H-M_alt 'P -4 m 2'
_space_group_IT_number 115
_space_group_name_Hall 'P -4 -2'
loop_
_atom_site_label
_atom_site_fract_x
_atom_site_fract_y
_atom_site_fract_z
Rb1 0.000 0.500 0.243
Er1 0.000 0.000 0.500
Sb1 0.000 0.000 0.000
Sb2 0.000 0.500 0.641
Sb3 0.500 0.500 0.000
Au1 0.000 0.500 0.875
Au2 0.500 0.500 0.500
```

Output
* raw formation energy: -0.450 eV/atom

***

No. 6
Computed, not measured: Cs3Er2TlSe6 after structural relaxation at the PBE level of DFT.

CIF file:
```
data_Cs3Er2TlSe6
_cell_length_a 7.389
_cell_length_b 12.802
_cell_length_c 8.733
_cell_angle_alpha 90.00
_cell_angle_beta 106.34
_cell_angle_gamma 90.00
_space_group_name_H-M_alt 'C 1 2/m 1'
_space_group_IT_number 12
_space_group_name_Hall '-C 2y'
loop_
_atom_site_label
_atom_site_fract_x
_atom_site_fract_y
_atom_site_fract_z
Cs1 0.000 0.000 0.000
Cs2 0.000 0.335 0.000
Er1 0.000 0.167 0.500
Tl1 0.000 0.500 0.500
Se1 0.222 0.000 0.685
Se2 0.232 0.330 0.686
```

Output
* raw formation energy: -1.305 eV/atom

***

Copy entry 3 word for word.
Computed, not measured: YCuC after structural relaxation at the PBE level of DFT.

CIF file:
```
data_YCuC
_cell_length_a 3.767
_cell_length_b 4.347
_cell_length_c 5.553
_cell_angle_alpha 90.00
_cell_angle_beta 90.00
_cell_angle_gamma 90.00
_space_group_name_H-M_alt 'P m n 21'
_space_group_IT_number 31
_space_group_name_Hall 'P 2ac -2'
loop_
_atom_site_label
_atom_site_fract_x
_atom_site_fract_y
_atom_site_fract_z
Y1 0.000 0.185 0.000
Cu1 0.000 0.351 0.521
C1 0.000 0.691 0.228
```

Output
* energy of formation: 0.00 eV per atom